The following is a DFT calculation (GGA+U) of an optimized crystal structure of NpInCo2O8.

Geometry as POSCAR:
```
NpInCo2O8
1.0
-3.5890 2.2996 4.0129
-3.0833 -1.7428 -4.6613
2.7824 -4.6047 2.3082
Np O Co In
1 8 2 1
direct
0.0000 0.0000 0.0000
0.7691 0.0577 0.7114
0.3463 0.0577 0.2886
0.3152 0.1251 0.8099
0.9423 0.2309 0.2886
0.3152 0.5054 0.1901
0.4946 0.6848 0.8099
0.9423 0.6537 0.7114
0.8749 0.6848 0.1901
0.7500 0.2500 0.5000
0.5000 0.5000 0.0000
0.2500 0.7500 0.5000
```

## Properties
Calculated total energy (eV per atom): -6.921
SG: I-4m2 (119)
Calculated density (g/cm³): 6.43
Crystal system: tetragonal